Below is an optimized crystal structure of Sm2Tm9Sc, with properties calculated at the PBE level.

- Calculated density: 8.57 g/cm³
- ΔH_f (0 K): 0.03 eV/atom
- Magnetic moment: 0.0 μB per cell

CIF file:
```
data_Sm2Tm9Sc
_cell_length_a 4.942
_cell_length_b 4.942
_cell_length_c 14.814
_cell_angle_alpha 90.00
_cell_angle_beta 90.00
_cell_angle_gamma 90.00
_space_group_name_H-M_alt 'P 4/m m m'
_space_group_IT_number 123
_space_group_name_Hall '-P 4 2'
loop_
_atom_site_label
_atom_site_fract_x
_atom_site_fract_y
_atom_site_fract_z
Sm1 0.000 0.000 0.168
Tm1 0.000 0.500 0.000
Tm2 0.000 0.500 0.339
Tm3 0.500 0.500 0.170
Tm4 0.500 0.500 0.500
Sc1 0.000 0.000 0.500
```

***

Below is an optimized crystal structure of Pm4SmGa, with properties calculated at the PBE level.

- Polymorph energy (0 for the lowest one): 0 meV/atom
- Calculated density: 7.08 g/cm³
- ΔH_f (0 K): -0.16 eV/atom
- Magnetic moment: 0.0 μB per cell

CIF file:
```
data_Pm4SmGa
_cell_length_a 3.635
_cell_length_b 3.635
_cell_length_c 14.196
_cell_angle_alpha 90.00
_cell_angle_beta 90.00
_cell_angle_gamma 90.00
_space_group_name_H-M_alt 'P 4/m m m'
_space_group_IT_number 123
_space_group_name_Hall '-P 4 2'
loop_
_atom_site_label
_atom_site_fract_x
_atom_site_fract_y
_atom_site_fract_z
Pm1 0.000 0.000 0.131
Pm2 0.500 0.500 0.318
Sm1 0.000 0.000 0.500
Ga1 0.500 0.500 0.000
```

***

Below is an optimized crystal structure of Sc2VPN, with properties calculated at the PBE level.

- Calculated density: 4.11 g/cm³
- Energy relative to the elements, uncorrected: -0.264 eV per atom
- Magnetic moment: 2.9 μB per cell

CIF file:
```
data_Sc2VPN
_cell_length_a 4.399
_cell_length_b 4.399
_cell_length_c 3.878
_cell_angle_alpha 90.00
_cell_angle_beta 90.00
_cell_angle_gamma 90.00
_space_group_name_H-M_alt 'P 4/m m m'
_space_group_IT_number 123
_space_group_name_Hall '-P 4 2'
loop_
_atom_site_label
_atom_site_fract_x
_atom_site_fract_y
_atom_site_fract_z
Sc1 0.000 0.500 0.000
V1 0.000 0.000 0.500
P1 0.500 0.500 0.500
N1 0.500 0.500 0.000
```

***

Question: Look up the magnetic moment of the first one.
Answer: 0.0 μB per cell

***

What did the third record say?
Below is an optimized crystal structure of Sc2VPN, with properties calculated at the PBE level.

- Calculated density: 4.11 g/cm³
- Energy relative to the elements, uncorrected: -0.264 eV per atom
- Magnetic moment: 2.9 μB per cell

CIF file:
```
data_Sc2VPN
_cell_length_a 4.399
_cell_length_b 4.399
_cell_length_c 3.878
_cell_angle_alpha 90.00
_cell_angle_beta 90.00
_cell_angle_gamma 90.00
_space_group_name_H-M_alt 'P 4/m m m'
_space_group_IT_number 123
_space_group_name_Hall '-P 4 2'
loop_
_atom_site_label
_atom_site_fract_x
_atom_site_fract_y
_atom_site_fract_z
Sc1 0.000 0.500 0.000
V1 0.000 0.000 0.500
P1 0.500 0.500 0.500
N1 0.500 0.500 0.000
```

***

Question: Which value of magnetic moment does entry 3 give?
Answer: 2.9 μB per cell

***

Question: Number 3 is which compound?
Answer: Sc2VPN